Density functional theory data (PBE) for Pm15Tl4Sn after structural relaxation.

Calculated values
Raw total energy = -4.490 eV per atom
Space group = No. 123
Density of states at the Fermi level = 31.59 states/eV/f.u.
Total moment = 0.000 μB/atom
E_form = -254 meV/atom

a = 4.9491 Å, b = 4.9491 Å, c = 24.8345 Å
α = 90.00°, β = 90.00°, γ = 90.00°
Last column: nearest neighbours and their distance in Å.
Fractional coordinates of all 20 atoms:
Pm  0.0000  0.5000  0.7009  4 Tl 3.50-3.51, 8 Pm 3.50-3.52
Pm  0.5000  0.5000  0.0000  8 Pm 3.47, 4 Sn 3.50
Pm  0.5000  0.5000  0.6002  4 Tl 3.50, 8 Pm 3.51-3.52
Pm  0.5000  0.5000  0.3998  4 Tl 3.50, 8 Pm 3.51-3.52
Pm  0.5000  0.0000  0.0978  2 Sn 3.47, 8 Pm 3.47-3.52, 2 Tl 3.54
Pm  0.5000  0.5000  0.8014  4 Tl 3.50, 8 Pm 3.52
Pm  0.5000  0.5000  0.1986  4 Tl 3.50, 8 Pm 3.52
Pm  0.5000  0.0000  0.2991  4 Tl 3.50-3.51, 8 Pm 3.50-3.52
Pm  0.0000  0.5000  0.5000  8 Pm 3.50-3.51, 4 Tl 3.51
Pm  0.0000  0.5000  0.9022  2 Sn 3.47, 8 Pm 3.47-3.52, 2 Tl 3.54
Pm  0.5000  0.0000  0.5000  8 Pm 3.50-3.51, 4 Tl 3.51
Pm  0.5000  0.0000  0.7009  4 Tl 3.50-3.51, 8 Pm 3.50-3.52
Pm  0.5000  0.0000  0.9022  2 Sn 3.47, 8 Pm 3.47-3.52, 2 Tl 3.54
Pm  0.0000  0.5000  0.2991  4 Tl 3.50-3.51, 8 Pm 3.50-3.52
Pm  0.0000  0.5000  0.0978  2 Sn 3.47, 8 Pm 3.47-3.52, 2 Tl 3.54
Tl  0.0000  0.0000  0.3996  12 Pm 3.50-3.51
Tl  0.0000  0.0000  0.6004  12 Pm 3.50-3.51
Tl  0.0000  0.0000  0.8005  12 Pm 3.50-3.54
Tl  0.0000  0.0000  0.1995  12 Pm 3.50-3.54
Sn  0.0000  0.0000  0.0000  12 Pm 3.47-3.50